The following is a DFT calculation (PBE-GGA) of a relaxed CaZn4Cu crystal.

Values from the calculation:
- Energy relative to the elements: -0.079 eV per atom
- N(E_F): 0.623 states/eV/atom
- Energy above the lowest structure with this stoichiometry: 93 meV per atom
- Space group: No. 216

The structure in extended XYZ format:
```
6
Lattice="0.0000 3.7119 3.7119 3.7119 0.0000 3.7119 3.7119 3.7119 0.0000" Properties=species:S:1:pos:R:3 pbc="T T T"
Cu 0.0000 0.0000 0.0000
Zn 2.7776 2.7776 2.7776
Zn 4.6462 4.6462 2.7776
Zn 2.7776 4.6462 4.6462
Zn 4.6462 2.7776 4.6462
Ca 5.5678 5.5678 5.5678
```